The following is a DFT calculation (PBE) of Th2BiRu after structural relaxation.

## Properties
- Energy relative to the lowest polymorph listed for this composition: 90.7 meV/atom
- Size of the total moment: 0.00 μB/f.u.
- Calculated formation energy: -0.427 eV/atom

Geometry as CIF:
```
data_Th2BiRu
_cell_length_a 3.435
_cell_length_b 3.435
_cell_length_c 8.919
_cell_angle_alpha 90.00
_cell_angle_beta 90.00
_cell_angle_gamma 90.00
_space_group_name_H-M_alt 'P 4/m m m'
_space_group_IT_number 123
_space_group_name_Hall '-P 4 2'
loop_
_atom_site_label
_atom_site_fract_x
_atom_site_fract_y
_atom_site_fract_z
Th1 0.000 0.000 0.207
Bi1 0.500 0.500 0.500
Ru1 0.500 0.500 0.000
```

=====

The following is a DFT calculation (PBE) of LaAuC after structural relaxation.

## Properties
- Size of the total moment: 1.00 μB/f.u.
- Calculated formation energy: 1.254 eV/atom

Geometry as CIF:
```
data_LaAuC
_cell_length_a 5.3784
_cell_length_b 5.3784
_cell_length_c 9.0008
_cell_angle_alpha 90.00
_cell_angle_beta 90.00
_cell_angle_gamma 120.00
_space_group_name_H-M_alt 'P 63/m m c'
_space_group_IT_number 194
_space_group_name_Hall '-P 6c 2c'
loop_
_atom_site_label
_atom_site_fract_x
_atom_site_fract_y
_atom_site_fract_z
La1 0.0000 0.0000 0.2500
Au1 0.3333 0.6667 0.2500
C1 0.0000 0.0000 0.0000
```

=====

The following is a DFT calculation (PBE) of HfSbP3 after structural relaxation.

## Properties
- Energy relative to the lowest polymorph listed for this composition: 0.0 meV/atom
- Size of the total moment: 0.00 μB/f.u.

Geometry as CIF:
```
data_HfSbP3
_cell_length_a 4.973
_cell_length_b 4.973
_cell_length_c 4.973
_cell_angle_alpha 90.00
_cell_angle_beta 90.00
_cell_angle_gamma 90.00
_space_group_name_H-M_alt 'P m -3 m'
_space_group_IT_number 221
_space_group_name_Hall '-P 4 2 3'
loop_
_atom_site_label
_atom_site_fract_x
_atom_site_fract_y
_atom_site_fract_z
Hf1 0.000 0.000 0.000
Sb1 0.500 0.500 0.500
P1 0.000 0.000 0.500
```

=====

The following is a DFT calculation (PBE) of Ca3TmHg4 after structural relaxation.

## Properties
- Size of the total moment: 0.00 μB/f.u.
- Calculated formation energy: -0.535 eV/atom

Geometry as CIF:
```
data_Ca3TmHg4
_cell_length_a 3.750
_cell_length_b 3.750
_cell_length_c 15.061
_cell_angle_alpha 90.00
_cell_angle_beta 90.00
_cell_angle_gamma 90.00
_space_group_name_H-M_alt 'P 4/m m m'
_space_group_IT_number 123
_space_group_name_Hall '-P 4 2'
loop_
_atom_site_label
_atom_site_fract_x
_atom_site_fract_y
_atom_site_fract_z
Ca1 0.000 0.000 0.000
Ca2 0.000 0.000 0.254
Tm1 0.000 0.000 0.500
Hg1 0.500 0.500 0.127
Hg2 0.500 0.500 0.385
```

=====

The following is a DFT calculation (PBE) of Er2MgBiO6 after structural relaxation.

## Properties
- Total DFT energy (no corrections): -7.016 eV per atom
- Size of the total moment: 0.84 μB/f.u.

Geometry as CIF:
```
data_Er2MgBiO6
_cell_length_a 5.6778
_cell_length_b 5.6778
_cell_length_c 14.9426
_cell_angle_alpha 90.00
_cell_angle_beta 90.00
_cell_angle_gamma 120.00
_space_group_name_H-M_alt 'R 3'
_space_group_IT_number 146
_space_group_name_Hall 'R 3'
loop_
_atom_site_label
_atom_site_fract_x
_atom_site_fract_y
_atom_site_fract_z
Er1 0.0000 0.0000 0.0000
Er2 0.0000 0.0000 0.4953
Mg1 0.0000 0.0000 0.7116
Bi1 0.0000 0.0000 0.2131
O1 0.0004 0.2852 0.6081
O2 0.0411 0.6824 0.7719
```

=====

The following is a DFT calculation (PBE) of NpAg2O3F3 after structural relaxation.

## Properties
- Total DFT energy (no corrections): -6.053 eV per atom
- Size of the total moment: 0.00 μB/f.u.

Geometry as CIF:
```
data_NpAg2O3F3
_cell_length_a 6.3314
_cell_length_b 6.3314
_cell_length_c 3.2593
_cell_angle_alpha 90.00
_cell_angle_beta 90.00
_cell_angle_gamma 120.00
_space_group_name_H-M_alt 'P -6 2 m'
_space_group_IT_number 189
_space_group_name_Hall 'P -6 -2'
loop_
_atom_site_label
_atom_site_fract_x
_atom_site_fract_y
_atom_site_fract_z
Np1 0.0000 0.0000 0.0000
Ag1 0.3333 0.6667 0.5000
O1 0.0000 0.2227 0.5000
F1 0.0000 0.6200 0.0000
```

=====

The following is a DFT calculation (PBE) of Tl4SnBi3 after structural relaxation.

## Properties
- Size of the total moment: 0.00 μB/f.u.
- Calculated formation energy: 0.078 eV/atom

Geometry as CIF:
```
data_Tl4SnBi3
_cell_length_a 28.494
_cell_length_b 5.245
_cell_length_c 3.565
_cell_angle_alpha 90.00
_cell_angle_beta 92.73
_cell_angle_gamma 90.00
_space_group_name_H-M_alt 'C 1 2/m 1'
_space_group_IT_number 12
loop_
_space_group_symop_operation_xyz
'x,y,z'
'-x,-y,-z'
'-x,y,-z'
'x,-y,z'
'x+1/2,y+1/2,z'
'-x+1/2,-y+1/2,-z'
'-x+1/2,y+1/2,-z'
'x+1/2,-y+1/2,z'
loop_
_atom_site_label
_atom_site_fract_x
_atom_site_fract_y
_atom_site_fract_z
Tl1 0.100 0.000 0.055
Tl2 0.217 0.000 0.225
Sn1 0.000 0.000 0.500
Bi1 0.000 0.500 0.000
Bi2 0.165 0.500 0.657
```

=====

The following is a DFT calculation (PBE) of YSi2Os after structural relaxation.

## Properties
- Total DFT energy (no corrections): -7.700 eV per atom
- Size of the total moment: 0.00 μB/f.u.

Geometry as CIF:
```
data_YSi2Os
_cell_length_a 7.071
_cell_length_b 4.099
_cell_length_c 5.696
_cell_angle_alpha 90.00
_cell_angle_beta 114.31
_cell_angle_gamma 90.00
_space_group_name_H-M_alt 'C 1 m 1'
_space_group_IT_number 8
loop_
_space_group_symop_operation_xyz
'x,y,z'
'x,-y,z'
'x+1/2,y+1/2,z'
'x+1/2,-y+1/2,z'
loop_
_atom_site_label
_atom_site_fract_x
_atom_site_fract_y
_atom_site_fract_z
Y1 0.000 0.000 0.000
Si1 0.205 0.000 0.613
Si2 0.447 0.000 0.341
Os1 0.307 0.500 0.421
```

=====

> Among the records above, which one has the highest size of the total moment?

LaAuC